Record 1
Compound: PbBr
Source: Alexandria via LeMat-Bulk
Functional: PBE-GGA
Structure: relaxed

The value obtained for the total DFT energy (no corrections) is -3.0651 eV per atom. The theoretical density is 6.6 Mg/m³. As for the uncorrected formation energy: -0.374 eV/atom.

The space group is I4/m (No. 87) and the conventional cell measures 12.7169, 12.7169 and 3.5842 Å, with angles of 90.00, 90.00 and 90.00 degrees. The distinct sites, in fractional coordinates, are Pb at (0.0866, 0.1930, 0.0000) and Br at (0.1170, 0.6874, 0.0000).

Record 2
Compound: Tb4Pm3Nd4
Source: Alexandria via LeMat-Bulk
Functional: PBE-GGA
Structure: relaxed

The value obtained for the total DFT energy (no corrections) is -4.5642 eV per atom. The calculation puts the offset from the most stable computed form at 21 meV/atom. The theoretical density is 7.2 Mg/m³. As for the formation energy: 0.15 eV per atom.

The space group is Amm2 (No. 38) and the conventional cell measures 10.7977, 5.7789 and 12.1429 Å, with angles of 90.00, 90.00 and 90.00 degrees. The distinct sites, in fractional coordinates, are Tb at (0.0000, 0.0000, 0.0000), Tb at (0.1979, 0.0000, 0.4925), Tb at (0.5000, 0.0000, 0.9418), Pm at (0.2080, 0.0000, 0.7975), Pm at (0.5000, 0.0000, 0.6422), Nd at (0.0000, 0.0000, 0.2720), Nd at (0.2898, 0.0000, 0.1417) and Nd at (0.5000, 0.0000, 0.3483).

Record 3
Compound: Tl7Hg2
Source: Alexandria via LeMat-Bulk
Functional: PBE-GGA
Structure: relaxed

The value obtained for the total DFT energy (no corrections) is -1.9084 eV per atom. The theoretical density is 11.1 Mg/m³. As for the formation energy: 0.00 eV per atom.

The space group is P-3m1 (No. 164) and the conventional cell measures 5.6005, 5.6005 and 10.0663 Å, with angles of 90.00, 90.00 and 120.00 degrees. The distinct sites, in fractional coordinates, are Tl at (0.0000, 0.0000, 0.0000), Tl at (0.0000, 0.0000, 0.3335), Tl at (0.3333, 0.6667, 0.1646), Tl at (0.3333, 0.6667, 0.5139) and Hg at (0.3333, 0.6667, 0.8381).

Record 4
Compound: K4SrSe
Source: Alexandria via LeMat-Bulk
Functional: PBE-GGA
Structure: relaxed

The value obtained for the total DFT energy (no corrections) is -1.5318 eV per atom. The theoretical density is 1.7 Mg/m³. As for the uncorrected formation energy: 0.061 eV/atom.

The space group is F-43m (No. 216) and the conventional cell measures 10.7196, 10.7196 and 10.7196 Å, with angles of 90.00, 90.00 and 90.00 degrees. The distinct sites, in fractional coordinates, are K at (0.1233, 0.1233, 0.1233), Sr at (0.0000, 0.0000, 0.5000) and Se at (0.2500, 0.2500, 0.7500).

Record 5
Compound: K3Ce3RuSe8
Source: Alexandria via LeMat-Bulk
Functional: PBE-GGA
Structure: relaxed

The value obtained for the total DFT energy (no corrections) is -5.2350 eV per atom. The theoretical density is 4.5 Mg/m³. As for the uncorrected formation energy: -1.352 eV/atom.

The space group is R-3m (No. 166, hexagonal axes) and the conventional cell measures 8.2401, 8.2401 and 23.7310 Å, with angles of 90.00, 90.00 and 120.00 degrees. The distinct sites, in fractional coordinates, are K at (0.0000, 0.5000, 0.0000), Ce at (0.0000, 0.5000, 0.5000), Ru at (0.0000, 0.0000, 0.5000), Se at (0.0000, 0.0000, 0.2376) and Se at (0.0301, 0.5151, 0.2301).

Record 6
Compound: BeSiS2Cl
Source: Alexandria via LeMat-Bulk
Functional: PBE-GGA
Structure: relaxed

The value obtained for the total DFT energy (no corrections) is -3.6709 eV per atom. The calculation puts the offset from the most stable computed form at 0 meV/atom. The theoretical density is 2.7 Mg/m³. As for the uncorrected formation energy: 0.179 eV/atom.

The space group is P4/mmm (No. 123) and the conventional cell measures 4.3691, 4.3691 and 4.4597 Å, with angles of 90.00, 90.00 and 90.00 degrees. The distinct sites, in fractional coordinates, are Be at (0.0000, 0.0000, 0.0000), Si at (0.5000, 0.5000, 0.5000), S at (0.0000, 0.5000, 0.0000) and Cl at (0.0000, 0.0000, 0.5000).

Record 7
Compound: Ga4Pt7Rh
Source: Alexandria via LeMat-Bulk
Functional: PBE-GGA
Structure: relaxed

The value obtained for the total DFT energy (no corrections) is -5.3604 eV per atom. The theoretical density is 14.3 Mg/m³. As for the formation energy: -0.21 eV per atom.

The space group is C2/m (No. 12) and the conventional cell measures 11.0534, 4.7868 and 9.1385 Å, with angles of 90.00, 122.81 and 90.00 degrees. The distinct sites, in fractional coordinates, are Ga at (0.0852, 0.0000, 0.2770), Ga at (0.2358, 0.0000, 0.8301), Pt at (0.0000, 0.0000, 0.5000), Pt at (0.0770, 0.5000, 0.8362), Pt at (0.1379, 0.0000, 0.0382), Pt at (0.2096, 0.5000, 0.3994) and Rh at (0.0000, 0.5000, 0.5000).

Record 8
Compound: Zr2Mo
Source: Alexandria via LeMat-Bulk
Functional: PBE-GGA
Structure: relaxed

The value obtained for the total DFT energy (no corrections) is -9.2835 eV per atom. The calculation puts the offset from the most stable computed form at 27 meV/atom. The theoretical density is 7.7 Mg/m³. As for the formation energy: 0.03 eV per atom.

The space group is P-3m1 (No. 164) and the conventional cell measures 4.7083, 4.7083 and 3.1313 Å, with angles of 90.00, 90.00 and 120.00 degrees. The distinct sites, in fractional coordinates, are Zr at (0.3333, 0.6667, 0.2838) and Mo at (0.0000, 0.0000, 0.0000).

Record 9
Compound: Ta3Si4
Source: Alexandria via LeMat-Bulk
Functional: PBE-GGA
Structure: relaxed

The value obtained for the total DFT energy (no corrections) is -8.2258 eV per atom. The calculation puts the offset from the most stable computed form at 305 meV/atom. The theoretical density is 9.4 Mg/m³. As for the uncorrected formation energy: -0.047 eV/atom.

The space group is P6/mmm (No. 191) and the conventional cell measures 5.4430, 5.4430 and 4.5178 Å, with angles of 90.00, 90.00 and 120.00 degrees. The distinct sites, in fractional coordinates, are Ta at (0.0000, 0.5000, 0.0000), Si at (0.0000, 0.0000, 0.2494) and Si at (0.3333, 0.6667, 0.5000).

Record 10
Compound: Li3Pm2Ni2
Source: Alexandria via LeMat-Bulk
Functional: PBE-GGA
Structure: relaxed

The value obtained for the total DFT energy (no corrections) is -3.9903 eV per atom. The theoretical density is 4.6 Mg/m³. As for the formation energy: -0.16 eV per atom.

The space group is Cmmm (No. 65) and the conventional cell measures 3.9446, 20.8465 and 3.7592 Å, with angles of 90.00, 90.00 and 90.00 degrees. The distinct sites, in fractional coordinates, are Li at (0.0000, 0.0000, 0.0000), Li at (0.0000, 0.4280, 0.5000), Pm at (0.0000, 0.1724, 0.0000) and Ni at (0.0000, 0.2844, 0.5000).

Record 11
Compound: KBeMo2
Source: Alexandria via LeMat-Bulk
Functional: PBE-GGA
Structure: relaxed

The value obtained for the total DFT energy (no corrections) is -5.8382 eV per atom. The theoretical density is 5.7 Mg/m³. As for the formation energy: 0.78 eV per atom.

The space group is Cmmm (No. 65) and the conventional cell measures 3.8330, 3.8527 and 9.4913 Å, with angles of 90.00, 90.00 and 90.00 degrees. The distinct sites, in fractional coordinates, are K at (0.0000, 0.0000, 0.0000), Be at (0.0000, 0.0000, 0.5000) and Mo at (0.0000, 0.5000, 0.3307).

Record 12
Compound: HfVCo2
Source: Alexandria via LeMat-Bulk
Functional: PBE-GGA
Structure: relaxed

The value obtained for the total DFT energy (no corrections) is -8.2570 eV per atom. The calculation puts the offset from the most stable computed form at 266 meV/atom. The theoretical density is 9.7 Mg/m³. As for the formation energy: 0.06 eV per atom.

The space group is Pmma (No. 51) and the conventional cell measures 4.5734, 4.8026 and 10.8108 Å, with angles of 90.00, 90.00 and 90.00 degrees. The distinct sites, in fractional coordinates, are Hf at (0.2500, 0.0000, 0.0924), Hf at (0.2500, 0.5000, 0.2815), V at (0.2500, 0.0000, 0.6805), V at (0.2500, 0.5000, 0.5444), Co at (0.0000, 0.0000, 0.5000), Co at (0.0000, 0.5000, 0.0000) and Co at (0.2500, 0.2664, 0.8388).